# Ba2BiIrS6

Ba2BiIrS6 after structural relaxation (PBE, OQMD).

It has space group R-3m (No. 166, hexagonal axes), with a = 6.8964 Å, b = 6.8964 Å, c = 39.2486 Å, α = 90.00°, β = 90.00° and γ = 120.00°. The inequivalent atoms are Ba at (0.0000, 0.0000, 0.1036), Ba at (0.0000, 0.0000, 0.3012), Bi at (0.0000, 0.0000, 0.0000), Bi at (0.0000, 0.0000, 0.5000), Ir at (0.0000, 0.0000, 0.4150), S at (0.0154, 0.5077, 0.1166) and S at (0.0234, 0.5117, 0.2918).

The offset from the most stable computed form is 0.0000 eV/atom.


# Ba2BiMoS5

Ba2BiMoS5 after structural relaxation (PBE, OQMD).

It has space group Cmc2_1 (No. 36), with a = 4.272 Å, b = 17.976 Å, c = 12.880 Å, α = 90.00°, β = 90.00° and γ = 90.00°. The inequivalent atoms are Ba at (0.000, 0.113, 0.000), Ba at (0.000, 0.131, 0.638), Bi at (0.000, 0.206, 0.340), Mo at (0.000, 0.453, 0.738), S at (0.000, 0.026, 0.304), S at (0.000, 0.290, 0.982), S at (0.000, 0.327, 0.686), S at (0.000, 0.351, 0.320) and S at (0.000, 0.491, 0.074).

As for the raw total energy: -5.45 eV/atom.


# BaNaNiBi

BaNaNiBi after structural relaxation (PBE, OQMD).

It has space group F-43m (No. 216), with a = 7.796 Å, b = 7.796 Å, c = 7.796 Å, α = 90.00°, β = 90.00° and γ = 90.00°. The inequivalent atoms are Ba at (0.000, 0.000, 0.000), Na at (0.000, 0.000, 0.500), Ni at (0.250, 0.250, 0.750) and Bi at (0.250, 0.250, 0.250).

The offset from the most stable computed form is 0.1822 eV/atom.


# BaNaNiBi

BaNaNiBi after structural relaxation (PBE, OQMD).

It has space group F-43m (No. 216), with a = 7.584 Å, b = 7.584 Å, c = 7.584 Å, α = 90.00°, β = 90.00° and γ = 90.00°. The inequivalent atoms are Ba at (0.000, 0.000, 0.000), Na at (0.250, 0.250, 0.250), Ni at (0.000, 0.000, 0.500) and Bi at (0.250, 0.250, 0.750).

The offset from the most stable computed form is 0.1632 eV/atom.


# BaNaNiBi

BaNaNiBi after structural relaxation (PBE, OQMD).

It has space group F-43m (No. 216), with a = 7.428 Å, b = 7.428 Å, c = 7.428 Å, α = 90.00°, β = 90.00° and γ = 90.00°. The inequivalent atoms are Ba at (0.000, 0.000, 0.000), Na at (0.250, 0.250, 0.750), Ni at (0.250, 0.250, 0.250) and Bi at (0.000, 0.000, 0.500).

The offset from the most stable computed form is 0.0000 eV/atom.


# BaNbBi2

BaNbBi2 after structural relaxation (PBE, OQMD).

It has space group F-43m (No. 216), with a = 7.763 Å, b = 7.763 Å, c = 7.763 Å, α = 90.00°, β = 90.00° and γ = 90.00°. The inequivalent atoms are Ba at (0.000, 0.000, 0.000), Nb at (0.250, 0.250, 0.750), Bi at (0.000, 0.000, 0.500) and Bi at (0.250, 0.250, 0.250).

As for the raw total energy: -4.54 eV/atom.


# BaNbBi

BaNbBi after structural relaxation (PBE, OQMD).

It has space group F-43m (No. 216), with a = 7.512 Å, b = 7.512 Å, c = 7.512 Å, α = 90.00°, β = 90.00° and γ = 90.00°. The inequivalent atoms are Ba at (0.000, 0.000, 0.000), Nb at (0.250, 0.250, 0.250) and Bi at (0.000, 0.000, 0.500).

As for the raw total energy: -4.81 eV/atom.


# Ba2NiBi

Ba2NiBi after structural relaxation (PBE, OQMD).

It has space group F-43m (No. 216), with a = 7.934 Å, b = 7.934 Å, c = 7.934 Å, α = 90.00°, β = 90.00° and γ = 90.00°. The inequivalent atoms are Ba at (0.000, 0.000, 0.000), Ba at (0.250, 0.250, 0.250), Ni at (0.000, 0.000, 0.500) and Bi at (0.250, 0.250, 0.750).

As for the raw total energy: -3.34 eV/atom.


# BaNiBi2

BaNiBi2 after structural relaxation (PBE, OQMD).

It has space group F-43m (No. 216), with a = 7.811 Å, b = 7.811 Å, c = 7.811 Å, α = 90.00°, β = 90.00° and γ = 90.00°. The inequivalent atoms are Ba at (0.000, 0.000, 0.000), Ni at (0.250, 0.250, 0.750), Bi at (0.000, 0.000, 0.500) and Bi at (0.250, 0.250, 0.250).

As for the raw total energy: -3.81 eV/atom.


# Ba2NiBiS6

Ba2NiBiS6 after structural relaxation (PBE, OQMD).

It has space group Fm-3m (No. 225), with a = 9.919 Å, b = 9.919 Å, c = 9.919 Å, α = 90.00°, β = 90.00° and γ = 90.00°. The inequivalent atoms are Ba at (0.250, 0.250, 0.250), Ni at (0.000, 0.000, 0.000), Bi at (0.000, 0.000, 0.500) and S at (0.000, 0.000, 0.230).

As for the raw total energy: -4.63 eV/atom.


# Ba2BiPtO6

Ba2BiPtO6 after structural relaxation (PBE, OQMD).

It has space group P-1 (No. 2), with a = 5.977 Å, b = 5.982 Å, c = 8.456 Å, α = 90.02°, β = 90.01° and γ = 90.00°. The inequivalent atoms are Ba at (0.000, 0.000, 0.250), Ba at (0.500, 0.500, 0.250), Bi at (0.000, 0.500, 0.000), Bi at (0.500, 0.000, 0.500), Pt at (0.000, 0.500, 0.500), Pt at (0.500, 0.000, 0.000), O at (0.001, 0.500, 0.262), O at (0.233, 0.257, 0.500), O at (0.245, 0.732, 0.501), O at (0.258, 0.765, 0.999), O at (0.265, 0.241, 0.999) and O at (0.499, 0.000, 0.238).

As for the raw total energy: -5.96 eV/atom.


# Ba2TaBiO6

Ba2TaBiO6 after structural relaxation (PBE, OQMD).

It has space group Fm-3m (No. 225), with a = 8.593 Å, b = 8.593 Å, c = 8.593 Å, α = 90.00°, β = 90.00° and γ = 90.00°. The inequivalent atoms are Ba at (0.250, 0.250, 0.250), Ta at (0.000, 0.000, 0.000), Bi at (0.000, 0.000, 0.500) and O at (0.000, 0.000, 0.232).

As for the raw total energy: -7.45 eV/atom.


# BaBiOs

BaBiOs after structural relaxation (PBE, OQMD).

It has space group F-43m (No. 216), with a = 7.095 Å, b = 7.095 Å, c = 7.095 Å, α = 90.00°, β = 90.00° and γ = 90.00°. The inequivalent atoms are Ba at (0.000, 0.000, 0.000), Bi at (0.000, 0.000, 0.500) and Os at (0.250, 0.250, 0.250).

The offset from the most stable computed form is 0.0000 eV/atom.


# BaBiOs

BaBiOs after structural relaxation (PBE, OQMD).

It has space group F-43m (No. 216), with a = 7.479 Å, b = 7.479 Å, c = 7.479 Å, α = 90.00°, β = 90.00° and γ = 90.00°. The inequivalent atoms are Ba at (0.000, 0.000, 0.000), Bi at (0.250, 0.250, 0.750) and Os at (0.250, 0.250, 0.250).

The offset from the most stable computed form is 1.0295 eV/atom.


# Ba2BiOsS6

Ba2BiOsS6 after structural relaxation (PBE, OQMD).

It has space group Fm-3m (No. 225), with a = 10.078 Å, b = 10.078 Å, c = 10.078 Å, α = 90.00°, β = 90.00° and γ = 90.00°. The inequivalent atoms are Ba at (0.250, 0.250, 0.250), Bi at (0.000, 0.000, 0.000), Os at (0.000, 0.000, 0.500) and S at (0.000, 0.000, 0.266).

The offset from the most stable computed form is 0.0557 eV/atom.


# Ba2BiOsS6

Ba2BiOsS6 after structural relaxation (PBE, OQMD).

It has space group P-1 (No. 2), with a = 6.851 Å, b = 6.897 Å, c = 7.160 Å, α = 62.40°, β = 63.53° and γ = 61.95°. The inequivalent atoms are Ba at (0.250, 0.248, 0.258), Bi at (0.000, 0.000, 0.000), Os at (0.500, 0.500, 0.500), S at (0.209, 0.325, 0.681), S at (0.244, 0.794, 0.669) and S at (0.353, 0.731, 0.188).

The offset from the most stable computed form is 0.0000 eV/atom.


# BaPaBi

BaPaBi after structural relaxation (PBE, OQMD).

It has space group F-43m (No. 216), with a = 7.941 Å, b = 7.941 Å, c = 7.941 Å, α = 90.00°, β = 90.00° and γ = 90.00°. The inequivalent atoms are Ba at (0.000, 0.000, 0.000), Pa at (0.000, 0.000, 0.500) and Bi at (0.250, 0.250, 0.250).

As for the raw total energy: -4.75 eV/atom.


# Ba3Bi4Pd4

Ba3Bi4Pd4 after structural relaxation (PBE, OQMD).

It has space group Pmmm (No. 47), with a = 4.752 Å, b = 4.873 Å, c = 14.058 Å, α = 90.00°, β = 90.00° and γ = 90.00°. The inequivalent atoms are Ba at (0.000, 0.000, 0.000), Ba at (0.000, 0.500, 0.306), Bi at (0.500, 0.000, 0.387), Bi at (0.500, 0.500, 0.110), Pd at (0.000, 0.000, 0.500), Pd at (0.500, 0.000, 0.192) and Pd at (0.500, 0.500, 0.500).

As for the raw total energy: -4.54 eV/atom.


# BaBi2PdPt

BaBi2PdPt after structural relaxation (PBE, OQMD).

It has space group P2_1/m (No. 11), with a = 5.022 Å, b = 4.938 Å, c = 10.937 Å, α = 90.00°, β = 91.55° and γ = 90.00°. The inequivalent atoms are Ba at (0.237, 0.250, 0.242), Bi at (0.253, 0.750, 0.498), Bi at (0.291, 0.250, 0.881), Pd at (0.190, 0.750, 0.999) and Pt at (0.254, 0.250, 0.626).

The offset from the most stable computed form is 0.0000 eV/atom.


# Ba2Bi4PdPt

Ba2Bi4PdPt after structural relaxation (PBE, OQMD).

It has space group Amm2 (No. 38), with a = 5.192 Å, b = 5.049 Å, c = 19.334 Å, α = 90.00°, β = 90.00° and γ = 90.00°. The inequivalent atoms are Ba at (0.000, 0.000, 0.000), Ba at (0.500, 0.000, 0.214), Bi at (0.000, 0.000, 0.359), Bi at (0.000, 0.000, 0.652), Bi at (0.500, 0.000, 0.562), Bi at (0.500, 0.000, 0.855), Pd at (0.000, 0.000, 0.794) and Pt at (0.500, 0.000, 0.420).

As for the raw total energy: -4.57 eV/atom.